one.
A relaxed structure of Nd2Tm3Sc, computed with PBE.

**Fermi-level density of states**: 1.66 states/eV per atom
**Total magnetization**: 0.00 μB/f.u.
**SG**: C2/m (12)

abc: 8.922 8.922 14.057
angles: 116.92 116.92 22.18
Positions (direct):
1 Nd 0.152 0.152 0.467
2 Nd 0.321 0.321 0.125
3 Nd 0.679 0.679 0.875
4 Nd 0.848 0.848 0.533
5 Tm 0.099 0.099 0.027
6 Tm 0.240 0.240 0.294
7 Tm 0.461 0.461 0.790
8 Tm 0.539 0.539 0.210
9 Tm 0.760 0.760 0.706
10 Tm 0.901 0.901 0.973
11 Sc 0.064 0.064 0.640
12 Sc 0.936 0.936 0.360

***

two.
A relaxed structure of Nd2Tm3Sc, computed with PBE.

**Fermi-level density of states**: 1.46 states/eV per atom
**Total magnetization**: 0.00 μB/f.u.
**SG**: Cmmm (65)

abc: 7.847 7.847 5.002
angles: 90.00 90.00 143.20
Positions (direct):
1 Nd 0.162 0.838 0.000
2 Nd 0.838 0.162 0.000
3 Tm 0.000 0.000 0.500
4 Tm 0.336 0.664 0.500
5 Tm 0.664 0.336 0.500
6 Sc 0.500 0.500 0.000

***

What should be chosen as the most stable of them? Choose two.